# 1
Density functional theory data (meta-GGA SCAN) for a crystal of TaBr2Cl relaxed with PBEsol.

```
data_TaBr2Cl
_symmetry_space_group_name_H-M 'P 1'
_symmetry_Int_Tables_number 1
_symmetry_space_group_name_Hall 'P 1'
_cell_length_a 3.141
_cell_length_b 3.141
_cell_length_c 8.087
_cell_angle_alpha 90.00
_cell_angle_beta 90.00
_cell_angle_gamma 90.00
loop_
_atom_site_label
_atom_site_fract_x
_atom_site_fract_y
_atom_site_fract_z
Cl1 0.500 0.500 0.000
Br1 0.000 0.000 0.699
Br2 0.000 0.000 0.301
Ta1 0.500 0.500 0.500
```

DFT total energy = -28.530 eV per atom
Total magnetic moment = 0.4 μB per cell
Formation energy (no corrections) = -0.160 eV/atom
Energy above the most stable polymorph in this dataset = 394 meV per atom
SG = P4/mmm

=====

# 2
Density functional theory data (meta-GGA SCAN) for a crystal of TaBr2Cl relaxed with PBEsol.

```
data_TaBr2Cl
_symmetry_space_group_name_H-M 'P 1'
_symmetry_Int_Tables_number 1
_symmetry_space_group_name_Hall 'P 1'
_cell_length_a 3.074
_cell_length_b 3.074
_cell_length_c 8.869
_cell_angle_alpha 90.00
_cell_angle_beta 90.00
_cell_angle_gamma 90.00
loop_
_atom_site_label
_atom_site_fract_x
_atom_site_fract_y
_atom_site_fract_z
Cl1 0.000 0.000 0.577
Br1 0.000 0.000 0.928
Br2 0.500 0.500 0.250
Ta1 0.500 0.500 0.745
```

DFT total energy = -28.629 eV per atom
Total magnetic moment = 0.0 μB per cell
Formation energy (no corrections) = -0.259 eV/atom
Energy above the most stable polymorph in this dataset = 294 meV per atom
SG = P4mm

=====

# 3
Density functional theory data (meta-GGA SCAN) for a crystal of Ta2BrCl relaxed with PBEsol.

```
data_Ta2BrCl
_symmetry_space_group_name_H-M 'P 1'
_symmetry_Int_Tables_number 1
_symmetry_space_group_name_Hall 'P 1'
_cell_length_a 3.276
_cell_length_b 3.276
_cell_length_c 6.226
_cell_angle_alpha 90.00
_cell_angle_beta 90.00
_cell_angle_gamma 90.00
loop_
_atom_site_label
_atom_site_fract_x
_atom_site_fract_y
_atom_site_fract_z
Cl1 0.500 0.500 0.500
Br1 0.500 0.500 0.000
Ta1 0.000 0.000 0.710
Ta2 0.000 0.000 0.290
```

DFT total energy = -39.203 eV per atom
Total magnetic moment = 0.0 μB per cell
Formation energy (no corrections) = 0.948 eV/atom
Energy above the most stable polymorph in this dataset = 565 meV per atom
SG = P4/mmm

=====

# 4
Density functional theory data (meta-GGA SCAN) for a crystal of TaBr2Cl relaxed with PBEsol.

```
data_TaBr2Cl
_symmetry_space_group_name_H-M 'P 1'
_symmetry_Int_Tables_number 1
_symmetry_space_group_name_Hall 'P 1'
_cell_length_a 3.129
_cell_length_b 4.557
_cell_length_c 7.496
_cell_angle_alpha 107.70
_cell_angle_beta 102.05
_cell_angle_gamma 90.00
loop_
_atom_site_label
_atom_site_fract_x
_atom_site_fract_y
_atom_site_fract_z
Cl1 0.500 0.000 0.000
Br1 0.651 0.651 0.301
Br2 0.349 0.349 0.699
Ta1 0.000 0.500 0.000
```

DFT total energy = -28.839 eV per atom
Total magnetic moment = 0.0 μB per cell
Formation energy (no corrections) = -0.469 eV/atom
Energy above the most stable polymorph in this dataset = 85 meV per atom
SG = Immm

=====

# 5
Density functional theory data (meta-GGA SCAN) for a crystal of TaBr2Cl relaxed with PBEsol.

```
data_TaBr2Cl
_symmetry_space_group_name_H-M 'P 1'
_symmetry_Int_Tables_number 1
_symmetry_space_group_name_Hall 'P 1'
_cell_length_a 3.269
_cell_length_b 4.857
_cell_length_c 4.857
_cell_angle_alpha 90.00
_cell_angle_beta 90.00
_cell_angle_gamma 90.00
loop_
_atom_site_label
_atom_site_fract_x
_atom_site_fract_y
_atom_site_fract_z
Cl1 0.500 0.500 0.500
Br1 0.000 0.000 0.500
Br2 0.000 0.500 0.000
Ta1 0.500 0.000 0.000
```

DFT total energy = -27.723 eV per atom
Total magnetic moment = 1.1 μB per cell
Formation energy (no corrections) = 0.648 eV/atom
Energy above the most stable polymorph in this dataset = 1201 meV per atom
SG = P4/mmm

=====

# 6
Density functional theory data (meta-GGA SCAN) for a crystal of Ta2BrCl relaxed with PBEsol.

```
data_Ta2BrCl
_symmetry_space_group_name_H-M 'P 1'
_symmetry_Int_Tables_number 1
_symmetry_space_group_name_Hall 'P 1'
_cell_length_a 4.216
_cell_length_b 4.216
_cell_length_c 8.883
_cell_angle_alpha 103.73
_cell_angle_beta 103.73
_cell_angle_gamma 90.00
loop_
_atom_site_label
_atom_site_fract_x
_atom_site_fract_y
_atom_site_fract_z
Cl1 0.750 0.250 0.500
Cl2 0.500 0.500 0.000
Br1 0.250 0.750 0.500
Br2 0.000 0.000 0.000
Ta1 0.388 0.875 0.250
Ta2 0.862 0.375 0.250
Ta3 0.125 0.138 0.750
Ta4 0.625 0.612 0.750
```

DFT total energy = -39.767 eV per atom
Total magnetic moment = 0.0 μB per cell
Formation energy (no corrections) = 0.384 eV/atom
Energy above the most stable polymorph in this dataset = 0 meV per atom
SG = I-42d

=====

# 7
Density functional theory data (meta-GGA SCAN) for a crystal of Ta2BrCl relaxed with PBEsol.

```
data_Ta2BrCl
_symmetry_space_group_name_H-M 'P 1'
_symmetry_Int_Tables_number 1
_symmetry_space_group_name_Hall 'P 1'
_cell_length_a 3.514
_cell_length_b 4.364
_cell_length_c 4.815
_cell_angle_alpha 90.00
_cell_angle_beta 90.49
_cell_angle_gamma 90.00
loop_
_atom_site_label
_atom_site_fract_x
_atom_site_fract_y
_atom_site_fract_z
Cl1 0.000 0.500 0.000
Br1 0.500 0.500 0.500
Ta1 0.739 0.000 0.781
Ta2 0.261 0.000 0.219
```

DFT total energy = -39.699 eV per atom
Total magnetic moment = 0.0 μB per cell
Formation energy (no corrections) = 0.452 eV/atom
Energy above the most stable polymorph in this dataset = 68 meV per atom
SG = P2/m

=====

# 8
Density functional theory data (meta-GGA SCAN) for a crystal of TaBr2Cl relaxed with PBEsol.

```
data_TaBr2Cl
_symmetry_space_group_name_H-M 'P 1'
_symmetry_Int_Tables_number 1
_symmetry_space_group_name_Hall 'P 1'
_cell_length_a 4.786
_cell_length_b 7.029
_cell_length_c 7.029
_cell_angle_alpha 83.34
_cell_angle_beta 70.09
_cell_angle_gamma 70.09
loop_
_atom_site_label
_atom_site_fract_x
_atom_site_fract_y
_atom_site_fract_z
Cl1 0.250 0.500 0.500
Cl2 0.500 0.000 0.000
Br1 0.983 0.142 0.642
Br2 0.767 0.858 0.358
Br3 0.375 0.642 0.858
Br4 0.875 0.358 0.142
Ta1 0.750 0.500 0.500
Ta2 0.000 0.000 0.000
```

DFT total energy = -28.924 eV per atom
Total magnetic moment = 2.6 μB per cell
Formation energy (no corrections) = -0.554 eV/atom
Energy above the most stable polymorph in this dataset = 0 meV per atom
SG = I-42d